MgZn2Si2 (PBE, relaxed); ΔE_f (raw) = 0.24 eV/atom; raw total energy = -2.756 eV/atom; distance to the lowest polymorph of the same formula = 0.82 eV per formula unit
1.0
7.524 0.000 0.000
0.000 7.524 0.000
0.000 0.000 2.977
Zn Si Mg
4 4 2
direct
0.627 0.127 0.000 Zn
0.873 0.627 0.000 Zn
0.373 0.873 0.000 Zn
0.127 0.373 0.000 Zn
0.330 0.170 0.500 Si
0.170 0.670 0.500 Si
0.670 0.830 0.500 Si
0.830 0.330 0.500 Si
0.500 0.500 0.000 Mg
0.000 0.000 0.000 Mg



Ce2PmCuN4 (PBE, relaxed); ΔE_f (raw) = -1.11 eV/atom; raw total energy = -7.865 eV/atom
1.0
-0.365 -3.232 1.377
5.896 1.120 -0.340
-0.255 4.591 10.703
N Pm Cu Ce
8 2 2 4
direct
0.266 0.532 0.115 N
0.734 0.468 0.885 N
0.000 0.000 0.500 N
0.452 0.905 0.750 N
0.734 0.468 0.615 N
0.548 0.095 0.250 N
0.000 0.000 0.000 N
0.266 0.532 0.385 N
0.896 0.792 0.250 Pm
0.104 0.208 0.750 Pm
0.159 0.318 0.250 Cu
0.841 0.682 0.750 Cu
0.369 0.738 0.557 Ce
0.369 0.738 0.943 Ce
0.631 0.262 0.057 Ce
0.631 0.262 0.443 Ce



Rb2SmTi2O7 (PBE, relaxed); ΔE_f (raw) = -2.62 eV/atom; raw total energy = -7.387 eV/atom
1.0
3.930 -0.002 0.011
0.002 3.930 0.011
1.940 1.938 11.319
O Ti Rb Sm
7 2 2 1
direct
0.672 0.672 0.658 O
0.076 0.576 0.849 O
0.924 0.424 0.151 O
0.500 0.500 0.000 O
0.328 0.328 0.342 O
0.576 0.076 0.849 O
0.424 0.924 0.151 O
0.408 0.408 0.184 Ti
0.592 0.592 0.816 Ti
0.191 0.191 0.619 Rb
0.809 0.809 0.381 Rb
0.000 0.000 0.000 Sm